The following is a DFT calculation (GGA-PBE) of a geometry-optimized CaTa2Tl structure.

CIF file:
```
data_CaTa2Tl
_chemical_formula_sum 'Ca1 Ta2 Tl1'
_symmetry_space_group_name_H-M 'P 1'
_symmetry_Int_Tables_number 1
_symmetry_space_group_name_Hall 'P 1'
_cell_length_a 4.954
_cell_length_b 4.954
_cell_length_c 4.954
_cell_angle_alpha 60.00
_cell_angle_beta 60.00
_cell_angle_gamma 60.00
loop_
_atom_site_label
_atom_site_type_symbol
_atom_site_fract_x
_atom_site_fract_y
_atom_site_fract_z
_atom_site_occupancy
Ca1 Ca 0.000 0.000 0.000 1
Ta1 Ta 0.250 0.250 0.250 1
Ta2 Ta 0.500 0.500 0.500 1
Tl1 Tl 0.750 0.750 0.750 1
```

total DFT energy (no corrections)	-6.40	eV per atom
theoretical density	11.7	g/cm3
formation energy from the elements	0.62	eV/atom
relative energy among the computed polymorphs	346	meV per atom

---

The following is a DFT calculation (GGA-PBE) of a geometry-optimized NdGeSe4 structure.

CIF file:
```
data_NdGeSe4
_chemical_formula_sum 'Nd2 Ge2 Se8'
_symmetry_space_group_name_H-M 'P 1'
_symmetry_Int_Tables_number 1
_symmetry_space_group_name_Hall 'P 1'
_cell_length_a 6.121
_cell_length_b 9.645
_cell_length_c 6.125
_cell_angle_alpha 90.00
_cell_angle_beta 100.94
_cell_angle_gamma 90.00
loop_
_atom_site_label
_atom_site_type_symbol
_atom_site_fract_x
_atom_site_fract_y
_atom_site_fract_z
_atom_site_occupancy
Nd1 Nd 0.136 0.250 0.135 1
Nd2 Nd 0.864 0.750 0.865 1
Ge1 Ge 0.386 0.750 0.387 1
Ge2 Ge 0.614 0.250 0.613 1
Se1 Se 0.176 0.565 0.178 1
Se2 Se 0.176 0.935 0.178 1
Se3 Se 0.234 0.250 0.641 1
Se4 Se 0.358 0.750 0.768 1
Se5 Se 0.642 0.250 0.232 1
Se6 Se 0.766 0.750 0.359 1
Se7 Se 0.824 0.065 0.822 1
Se8 Se 0.824 0.435 0.822 1
```

total DFT energy (no corrections)	-4.66	eV per atom
raw formation energy	-0.774	eV/atom
theoretical density	5.0	g/cm3

---

The following is a DFT calculation (GGA-PBE) of a geometry-optimized TlCuSb2 structure.

CIF file:
```
data_TlCuSb2
_chemical_formula_sum 'Tl1 Cu1 Sb2'
_symmetry_space_group_name_H-M 'P 1'
_symmetry_Int_Tables_number 1
_symmetry_space_group_name_Hall 'P 1'
_cell_length_a 5.573
_cell_length_b 5.573
_cell_length_c 5.573
_cell_angle_alpha 129.84
_cell_angle_beta 129.84
_cell_angle_gamma 73.67
loop_
_atom_site_label
_atom_site_type_symbol
_atom_site_fract_x
_atom_site_fract_y
_atom_site_fract_z
_atom_site_occupancy
Tl1 Tl 0.000 0.000 0.000 1
Cu1 Cu 0.250 0.750 0.500 1
Sb1 Sb 0.500 0.500 0.000 1
Sb2 Sb 0.750 0.250 0.500 1
```

total DFT energy (no corrections)	-3.31	eV per atom
raw formation energy	0.364	eV/atom
theoretical density	8.5	g/cm3
relative energy among the computed polymorphs	308	meV per atom

---

The following is a DFT calculation (GGA-PBE) of a geometry-optimized Ta3NiTe structure.

CIF file:
```
data_Ta3NiTe
_chemical_formula_sum 'Ta3 Ni1 Te1'
_symmetry_space_group_name_H-M 'P 1'
_symmetry_Int_Tables_number 1
_symmetry_space_group_name_Hall 'P 1'
_cell_length_a 4.665
_cell_length_b 4.665
_cell_length_c 4.665
_cell_angle_alpha 90.00
_cell_angle_beta 90.00
_cell_angle_gamma 90.00
loop_
_atom_site_label
_atom_site_type_symbol
_atom_site_fract_x
_atom_site_fract_y
_atom_site_fract_z
_atom_site_occupancy
Ta1 Ta 0.000 0.000 0.500 1
Ta2 Ta 0.000 0.500 0.000 1
Ta3 Ta 0.500 0.000 0.000 1
Ni1 Ni 0.000 0.000 0.000 1
Te1 Te 0.500 0.500 0.500 1
```

total DFT energy (no corrections)	-8.09	eV per atom
raw formation energy	0.808	eV/atom
theoretical density	11.9	g/cm3
relative energy among the computed polymorphs	0	meV per atom

---

The following is a DFT calculation (GGA-PBE) of a geometry-optimized KSn3Pb structure.

CIF file:
```
data_KSn3Pb
_chemical_formula_sum 'K1 Sn3 Pb1'
_symmetry_space_group_name_H-M 'P 1'
_symmetry_Int_Tables_number 1
_symmetry_space_group_name_Hall 'P 1'
_cell_length_a 5.928
_cell_length_b 5.928
_cell_length_c 5.928
_cell_angle_alpha 90.00
_cell_angle_beta 90.00
_cell_angle_gamma 90.00
loop_
_atom_site_label
_atom_site_type_symbol
_atom_site_fract_x
_atom_site_fract_y
_atom_site_fract_z
_atom_site_occupancy
K1 K 0.000 0.000 0.000 1
Sn1 Sn 0.000 0.500 0.500 1
Sn2 Sn 0.500 0.000 0.500 1
Sn3 Sn 0.500 0.500 0.000 1
Pb1 Pb 0.500 0.500 0.500 1
```

total DFT energy (no corrections)	-2.96	eV per atom
theoretical density	4.8	g/cm3
formation energy from the elements	0.41	eV/atom
relative energy among the computed polymorphs	477	meV per atom

---

The following is a DFT calculation (GGA-PBE) of a geometry-optimized AcHo2Pa structure.

CIF file:
```
data_AcHo2Pa
_chemical_formula_sum 'Ac1 Ho2 Pa1'
_symmetry_space_group_name_H-M 'P 1'
_symmetry_Int_Tables_number 1
_symmetry_space_group_name_Hall 'P 1'
_cell_length_a 12.524
_cell_length_b 12.524
_cell_length_c 12.524
_cell_angle_alpha 16.04
_cell_angle_beta 16.04
_cell_angle_gamma 16.04
loop_
_atom_site_label
_atom_site_type_symbol
_atom_site_fract_x
_atom_site_fract_y
_atom_site_fract_z
_atom_site_occupancy
Ac1 Ac 0.000 0.000 0.000 1
Ho1 Ho 0.095 0.095 0.095 1
Ho2 Ho 0.905 0.905 0.905 1
Pa1 Pa 0.500 0.500 0.500 1
```

total DFT energy (no corrections)	-5.44	eV per atom
theoretical density	10.0	g/cm3
formation energy from the elements	0.25	eV/atom

---

The following is a DFT calculation (GGA-PBE) of a geometry-optimized DyHgBi structure.

CIF file:
```
data_DyHgBi
_chemical_formula_sum 'Dy1 Hg1 Bi1'
_symmetry_space_group_name_H-M 'P 1'
_symmetry_Int_Tables_number 1
_symmetry_space_group_name_Hall 'P 1'
_cell_length_a 4.801
_cell_length_b 4.801
_cell_length_c 4.338
_cell_angle_alpha 90.00
_cell_angle_beta 90.00
_cell_angle_gamma 120.00
loop_
_atom_site_label
_atom_site_type_symbol
_atom_site_fract_x
_atom_site_fract_y
_atom_site_fract_z
_atom_site_occupancy
Dy1 Dy 0.000 0.000 0.000 1
Hg1 Hg 0.667 0.333 0.266 1
Bi1 Bi 0.333 0.667 0.591 1
```

total DFT energy (no corrections)	-3.36	eV per atom
theoretical density	11.0	g/cm3
formation energy from the elements	-0.43	eV/atom
relative energy among the computed polymorphs	0	meV per atom

---

The following is a DFT calculation (GGA-PBE) of a geometry-optimized BaW4 structure.

CIF file:
```
data_BaW4
_chemical_formula_sum 'Ba1 W4'
_symmetry_space_group_name_H-M 'P 1'
_symmetry_Int_Tables_number 1
_symmetry_space_group_name_Hall 'P 1'
_cell_length_a 5.130
_cell_length_b 5.130
_cell_length_c 5.130
_cell_angle_alpha 102.24
_cell_angle_beta 102.24
_cell_angle_gamma 125.16
loop_
_atom_site_label
_atom_site_type_symbol
_atom_site_fract_x
_atom_site_fract_y
_atom_site_fract_z
_atom_site_occupancy
Ba1 Ba 0.000 0.000 0.000 1
W1 W 0.188 0.440 0.628 1
W2 W 0.440 0.812 0.252 1
W3 W 0.560 0.188 0.748 1
W4 W 0.812 0.560 0.372 1
```

total DFT energy (no corrections)	-9.43	eV per atom
theoretical density	14.8	g/cm3
formation energy from the elements	1.31	eV/atom
relative energy among the computed polymorphs	505	meV per atom

---

The following is a DFT calculation (GGA-PBE) of a geometry-optimized RbScPb structure.

CIF file:
```
data_RbScPb
_chemical_formula_sum 'Rb2 Sc2 Pb2'
_symmetry_space_group_name_H-M 'P 1'
_symmetry_Int_Tables_number 1
_symmetry_space_group_name_Hall 'P 1'
_cell_length_a 5.703
_cell_length_b 5.703
_cell_length_c 6.642
_cell_angle_alpha 90.00
_cell_angle_beta 90.00
_cell_angle_gamma 120.00
loop_
_atom_site_label
_atom_site_type_symbol
_atom_site_fract_x
_atom_site_fract_y
_atom_site_fract_z
_atom_site_occupancy
Rb1 Rb 0.000 0.000 0.000 1
Rb2 Rb 0.000 0.000 0.500 1
Sc1 Sc 0.333 0.667 0.250 1
Sc2 Sc 0.667 0.333 0.750 1
Pb1 Pb 0.333 0.667 0.750 1
Pb2 Pb 0.667 0.333 0.250 1
```

total DFT energy (no corrections)	-3.58	eV per atom
theoretical density	6.0	g/cm3
formation energy from the elements	0.09	eV/atom
relative energy among the computed polymorphs	330	meV per atom

---

The following is a DFT calculation (GGA-PBE) of a geometry-optimized Ca3Ti2N4 structure.

CIF file:
```
data_Ca3Ti2N4
_chemical_formula_sum 'Ca6 Ti4 N8'
_symmetry_space_group_name_H-M 'P 1'
_symmetry_Int_Tables_number 1
_symmetry_space_group_name_Hall 'P 1'
_cell_length_a 6.964
_cell_length_b 6.964
_cell_length_c 5.587
_cell_angle_alpha 91.61
_cell_angle_beta 91.61
_cell_angle_gamma 74.93
loop_
_atom_site_label
_atom_site_type_symbol
_atom_site_fract_x
_atom_site_fract_y
_atom_site_fract_z
_atom_site_occupancy
Ca1 Ca 0.107 0.893 0.750 1
Ca2 Ca 0.258 0.521 0.465 1
Ca3 Ca 0.479 0.742 0.035 1
Ca4 Ca 0.521 0.258 0.965 1
Ca5 Ca 0.742 0.479 0.535 1
Ca6 Ca 0.893 0.107 0.250 1
Ti1 Ti 0.083 0.319 0.908 1
Ti2 Ti 0.319 0.083 0.408 1
Ti3 Ti 0.681 0.917 0.592 1
Ti4 Ti 0.917 0.681 0.092 1
N1 N 0.081 0.236 0.572 1
N2 N 0.205 0.548 0.965 1
N3 N 0.236 0.081 0.072 1
N4 N 0.452 0.795 0.535 1
N5 N 0.548 0.205 0.465 1
N6 N 0.764 0.919 0.928 1
N7 N 0.795 0.452 0.035 1
N8 N 0.919 0.764 0.428 1
```

total DFT energy (no corrections)	-7.22	eV per atom
raw formation energy	-1.099	eV/atom
theoretical density	3.5	g/cm3